(1)
The following is a PBE-GGA calculation of a relaxed LaZrSc2Tl crystal, from Alexandria.

Values from the calculation:
ΔH_f (0 K) ... 0.5346 eV/atom

Unit cell a=5.3945 b=5.3945 c=5.5538 alpha=90.00 beta=90.00 gamma=90.00
Last column: nearest neighbours and their distance in Å.
Space group P4/mmm (No. 123)
Unique sites:
La1 0.0000 0.0000 0.0000 (multiplicity 1)  4 Zr 3.81, 8 Sc 3.87
Zr1 0.5000 0.5000 0.0000 (multiplicity 1)  2 Tl 2.78
Sc1 0.0000 0.5000 0.5000 (multiplicity 2)  2 Tl 2.70
Tl1 0.5000 0.5000 0.5000 (multiplicity 1)  4 Sc 2.70, 2 Zr 2.78

***

(2)
The following is a PBE-GGA calculation of a relaxed PmMg2Pt2 crystal, from Alexandria.

Values from the calculation:
ΔH_f (0 K) ... -0.8453 eV/atom

Unit cell a=5.1329 b=4.7672 c=8.6637 alpha=90.00 beta=100.29 gamma=90.00
Last column: nearest neighbours and their distance in Å.
Space group P2_1/m (No. 11)
Unique sites:
Pm1 0.1678 0.2500 0.2847 (multiplicity 2)  7 Pt 3.04-3.24, 2 Mg 3.20-3.22
Mg1 0.2847 0.2500 0.6596 (multiplicity 2)  4 Pt 2.63-2.79
Mg2 0.3551 0.7500 0.9830 (multiplicity 2)  4 Pt 2.66-2.69, 2 Mg 2.80
Pt1 0.1152 0.2500 0.9282 (multiplicity 2)  5 Mg 2.63-2.69
Pt2 0.2931 0.7500 0.5032 (multiplicity 2)  4 Mg 2.75-3.05, 3 Pm 3.04

***

(3)
The following is a PBE-GGA calculation of a relaxed SiRu crystal, from Alexandria.

Values from the calculation:
Raw formation energy ... -0.175 eV/atom

Unit cell a=6.7861 b=6.7861 c=4.4661 alpha=90.00 beta=90.00 gamma=120.00
Last column: nearest neighbours and their distance in Å.
Space group P6_3/m (No. 176)
Unique sites:
Si1 0.0591 0.2842 0.2500 (multiplicity 6)  5 Ru 2.38-2.55
Ru1 0.0975 0.4431 0.7500 (multiplicity 6)  5 Si 2.38-2.55

***

(4)
The following is a PBE-GGA calculation of a relaxed FeCuTcRh crystal, from Alexandria.

Values from the calculation:
ΔH_f (0 K) ... 0.2242 eV/atom

Unit cell a=5.9953 b=5.9953 c=5.9953 alpha=90.00 beta=90.00 gamma=90.00
Last column: nearest neighbours and their distance in Å.
Space group F-43m (No. 216)
Unique sites:
Fe1 0.0000 0.0000 0.0000 (multiplicity 4)  4 Tc 2.60, 4 Cu 2.60
Cu1 0.2500 0.2500 0.7500 (multiplicity 4)  4 Fe 2.60, 4 Rh 2.60
Tc1 0.2500 0.2500 0.2500 (multiplicity 4)  4 Fe 2.60, 4 Rh 2.60
Rh1 0.0000 0.0000 0.5000 (multiplicity 4)  4 Tc 2.60, 4 Cu 2.60

***

(5)
The following is a PBE-GGA calculation of a relaxed HoZnGa3Au crystal, from Alexandria.

Values from the calculation:
ΔH_f (0 K) ... -0.1848 eV/atom

Unit cell a=5.5620 b=16.7640 c=5.7147 alpha=90.00 beta=90.00 gamma=90.00
Last column: nearest neighbours and their distance in Å.
Space group Cmcm (No. 63)
Unique sites:
Ho1 0.0000 0.1718 0.2500 (multiplicity 4)  2 Zn 3.04, 4 Ga 3.04-3.18, 2 Au 3.06
Zn1 0.0000 0.4010 0.7500 (multiplicity 4)  5 Ga 2.45-2.60
Ga1 0.0000 0.2547 0.7500 (multiplicity 4)  1 Zn 2.45, 1 Au 2.48
Ga2 0.2475 0.0000 0.0000 (multiplicity 8)  2 Zn 2.60, 2 Au 2.67, 4 Ga 2.75-2.86
Au1 0.0000 0.1065 0.7500 (multiplicity 4)  5 Ga 2.48-2.67

***

(6)
The following is a PBE-GGA calculation of a relaxed BeCuMo crystal, from Alexandria.

Values from the calculation:
Polymorph energy (0 for the lowest one) ... 0.74 eV per formula unit
ΔH_f (0 K) ... 0.2691 eV/atom

Unit cell a=2.6376 b=2.6376 c=6.2875 alpha=90.00 beta=90.00 gamma=120.00
Last column: nearest neighbours and their distance in Å.
Space group P3m1 (No. 156)
Unique sites:
Be1 0.0000 0.0000 0.0000 (multiplicity 1)  3 Cu 2.40, 3 Mo 2.60, 6 Be 2.64
Cu1 0.3333 0.6667 0.2945 (multiplicity 1)  3 Be 2.40, 6 Cu 2.64
Mo1 0.6667 0.3333 0.6641 (multiplicity 1)  3 Be 2.60, 6 Mo 2.64, 3 Cu 2.78